A plane-wave DFT calculation with PBE was carried out for an optimized crystal structure of Nd4Cd2In.

Lattice parameters (Å, degrees): 9.162 9.162 9.162 34.22 34.22 34.22
Fractional coordinates of all 7 atoms:
Nd 0.116 0.116 0.116
Nd 0.369 0.369 0.369
Nd 0.631 0.631 0.631
Nd 0.884 0.884 0.884
Cd 0.245 0.245 0.245
Cd 0.755 0.755 0.755
In 0.500 0.500 0.500

calculated volume: 30.983 Å³/atom
formation energy: -0.216 eV/atom
total magnetic moment: 0.0007 μB/atom